MgUMoO6 | GGA+U | optimized geometry

DFT total energy   -8.00 eV per atom
Size of the total moment   4.00 μB/cell
Symmetry   P-31c

Lattice parameters (Å, degrees): 5.3128 5.3128 9.1366 90.00 90.00 120.00
Site moments in Bohr magnetons follow the coordinates.
Element x y z (fractional)
Mg 0.3333 0.6667 0.2500  0.00
Mg 0.6667 0.3333 0.7500  0.00
U 0.6667 0.3333 0.2500  0.18
U 0.3333 0.6667 0.7500  0.18
Mo 0.0000 0.0000 0.0000  1.84
Mo 0.0000 0.0000 0.5000  1.84
O 0.6761 0.6734 0.1291  -0.01
O 0.9972 0.3239 0.1291  -0.01
O 0.3239 0.9972 0.6291  -0.01
O 0.0028 0.6761 0.8709  -0.01
O 0.3266 0.3239 0.3709  -0.01
O 0.9972 0.6734 0.3709  -0.01
O 0.6734 0.9972 0.8709  -0.01
O 0.6761 0.0028 0.3709  -0.01
O 0.0028 0.3266 0.6291  -0.01
O 0.3266 0.0028 0.1291  -0.01
O 0.6734 0.6761 0.6291  -0.01
O 0.3239 0.3266 0.8709  -0.01